1.
Cr2SbIr after structural relaxation, computed with PBE.

Cell lengths 2.937, 3.796, 5.600 Å; angles 90.00, 90.00, 90.00 degrees
Sites, in units of the cell vectors:
Cr1 0.000 0.000 0.229
Cr2 0.000 0.000 0.771
Sb1 0.500 0.500 0.500
Ir1 0.500 0.500 0.000

Values from the calculation:
Uncorrected formation energy ... 0.2411 eV/atom
SG ... No. 47

***

2.
Cr2SbIr after structural relaxation, computed with PBE.

Cell lengths 8.613, 8.613, 8.613 Å; angles 19.20, 19.20, 19.20 degrees
Sites, in units of the cell vectors:
Cr1 0.247 0.247 0.247
Cr2 0.753 0.753 0.753
Sb1 0.000 0.000 0.000
Ir1 0.500 0.500 0.500

Values from the calculation:
Uncorrected formation energy ... 0.4773 eV/atom
SG ... No. 166

***

3.
Cr2SbIr after structural relaxation, computed with PBE.

Cell lengths 7.915, 7.915, 7.915 Å; angles 142.82, 142.82, 53.60 degrees
Sites, in units of the cell vectors:
Cr1 0.072 0.625 0.947
Cr2 0.375 0.322 0.447
Cr3 0.678 0.125 0.053
Cr4 0.875 0.928 0.553
Sb1 0.250 0.750 0.500
Sb2 0.500 0.500 0.000
Ir1 0.000 0.000 0.000
Ir2 0.750 0.250 0.500

Values from the calculation:
Uncorrected formation energy ... 0.8426 eV/atom
SG ... No. 122

***

4.
Cr2SbIr after structural relaxation, computed with PBE.

Cell lengths 4.709, 4.709, 2.938 Å; angles 90.00, 90.00, 108.27 degrees
Sites, in units of the cell vectors:
Cr1 0.000 0.500 0.000
Cr2 0.500 0.000 0.000
Sb1 0.000 0.000 0.500
Ir1 0.500 0.500 0.500

Values from the calculation:
Uncorrected formation energy ... 0.2123 eV/atom
SG ... No. 65

***

5.
Cr4SbIr after structural relaxation, computed with PBE.

Cell lengths 4.858, 4.858, 4.858 Å; angles 60.00, 60.00, 60.00 degrees
Sites, in units of the cell vectors:
Cr1 0.123 0.123 0.123
Cr2 0.123 0.123 0.630
Cr3 0.123 0.630 0.123
Cr4 0.630 0.123 0.123
Sb1 0.750 0.750 0.750
Ir1 0.500 0.500 0.500

Values from the calculation:
Uncorrected formation energy ... 0.2491 eV/atom
SG ... No. 216

***

6.
CrSb2Ir after structural relaxation, computed with PBE.

Cell lengths 4.813, 4.813, 4.813 Å; angles 60.00, 60.00, 60.00 degrees
Sites, in units of the cell vectors:
Cr1 0.000 0.000 0.000
Sb1 0.500 0.500 0.500
Sb2 0.750 0.750 0.750
Ir1 0.250 0.250 0.250

Values from the calculation:
Uncorrected formation energy ... 0.5723 eV/atom
SG ... No. 216

***

7.
Cr2SbIr after structural relaxation, computed with PBE.

Cell lengths 4.703, 4.703, 4.735 Å; angles 100.11, 100.11, 36.19 degrees
Sites, in units of the cell vectors:
Cr1 0.000 0.000 0.000
Cr2 0.739 0.739 0.235
Sb1 0.243 0.243 0.745
Ir1 0.482 0.482 0.447

Values from the calculation:
Uncorrected formation energy ... 0.2404 eV/atom
SG ... No. 8

***

8.
Cr2SbIr2 after structural relaxation, computed with PBE.

Cell lengths 7.440, 7.440, 2.865 Å; angles 90.00, 90.00, 90.00 degrees
Sites, in units of the cell vectors:
Cr1 0.162 0.338 0.000
Cr2 0.338 0.838 0.000
Cr3 0.662 0.162 0.000
Cr4 0.838 0.662 0.000
Sb1 0.000 0.000 0.500
Sb2 0.500 0.500 0.500
Ir1 0.131 0.631 0.500
Ir2 0.369 0.131 0.500
Ir3 0.631 0.869 0.500
Ir4 0.869 0.369 0.500

Values from the calculation:
Uncorrected formation energy ... 0.1116 eV/atom
SG ... No. 127